1.
The following is a DFT calculation (PBE) of Ca2MgTl after structural relaxation.

Results
VASP energy ... -2.215 eV/atom
Fermi-level density of states ... 0.59 states/eV per atom

Structure (CIF):
```
data_Ca2MgTl
_chemical_formula_sum 'Ca4 Mg2 Tl2'
_space_group_name_H-M_alt 'C 1 m 1'
_space_group_IT_number 8
_space_group_name_Hall 'C -2y'
_cell_length_a 12.672
_cell_length_b 3.871
_cell_length_c 5.547
_cell_angle_alpha 90.00
_cell_angle_beta 115.81
_cell_angle_gamma 90.00
loop_
_atom_site_label
_atom_site_type_symbol
_atom_site_fract_x
_atom_site_fract_y
_atom_site_fract_z
Ca1 Ca 0.000 0.000 0.000
Ca2 Ca 0.211 0.000 0.708
Mg1 Mg 0.443 0.000 0.444
Tl1 Tl 0.240 0.500 0.236
```


2.
The following is a DFT calculation (PBE) of Ca4MgTl after structural relaxation.

Results
VASP energy ... -1.756 eV/atom
Fermi-level density of states ... 1.14 states/eV per atom

Structure (CIF):
```
data_Ca4MgTl
_chemical_formula_sum 'Ca16 Mg4 Tl4'
_space_group_name_H-M_alt 'F -4 3 m'
_space_group_IT_number 216
_space_group_name_Hall 'F -4 2 3'
_cell_length_a 9.686
_cell_length_b 9.686
_cell_length_c 9.686
_cell_angle_alpha 90.00
_cell_angle_beta 90.00
_cell_angle_gamma 90.00
loop_
_atom_site_label
_atom_site_type_symbol
_atom_site_fract_x
_atom_site_fract_y
_atom_site_fract_z
Ca1 Ca 0.125 0.125 0.125
Mg1 Mg 0.250 0.250 0.750
Tl1 Tl 0.000 0.000 0.500
```


3.
The following is a DFT calculation (PBE) of CaMg3Tl2 after structural relaxation.

Results
VASP energy ... -2.062 eV/atom
Fermi-level density of states ... 0.44 states/eV per atom

Structure (CIF):
```
data_CaMg3Tl2
_chemical_formula_sum 'Ca4 Mg12 Tl8'
_space_group_name_H-M_alt 'C 1 2/m 1'
_space_group_IT_number 12
_space_group_name_Hall '-C 2y'
_cell_length_a 16.076
_cell_length_b 4.769
_cell_length_c 9.382
_cell_angle_alpha 90.00
_cell_angle_beta 118.91
_cell_angle_gamma 90.00
loop_
_atom_site_label
_atom_site_type_symbol
_atom_site_fract_x
_atom_site_fract_y
_atom_site_fract_z
Ca1 Ca 0.132 0.000 0.014
Mg1 Mg 0.060 0.000 0.401
Mg2 Mg 0.086 0.500 0.686
Mg3 Mg 0.219 0.500 0.548
Tl1 Tl 0.054 0.500 0.191
Tl2 Tl 0.221 0.000 0.754
```


4.
The following is a DFT calculation (PBE) of CaMg2Tl2 after structural relaxation.

Results
VASP energy ... -2.117 eV/atom
Fermi-level density of states ... 0.60 states/eV per atom

Structure (CIF):
```
data_CaMg2Tl2
_chemical_formula_sum 'Ca2 Mg4 Tl4'
_space_group_name_H-M_alt 'I m m m'
_space_group_IT_number 71
_space_group_name_Hall '-I 2 2'
_cell_length_a 4.970
_cell_length_b 7.122
_cell_length_c 7.606
_cell_angle_alpha 90.00
_cell_angle_beta 90.00
_cell_angle_gamma 90.00
loop_
_atom_site_label
_atom_site_type_symbol
_atom_site_fract_x
_atom_site_fract_y
_atom_site_fract_z
Ca1 Ca 0.000 0.000 0.000
Mg1 Mg 0.000 0.500 0.191
Tl1 Tl 0.000 0.215 0.500
```


5.
The following is a DFT calculation (PBE) of CaMgTl2 after structural relaxation.

Results
VASP energy ... -2.264 eV/atom
Fermi-level density of states ... 0.61 states/eV per atom

Structure (CIF):
```
data_CaMgTl2
_chemical_formula_sum 'Ca2 Mg2 Tl4'
_space_group_name_H-M_alt 'C 1 2/m 1'
_space_group_IT_number 12
_space_group_name_Hall '-C 2y'
_cell_length_a 10.236
_cell_length_b 3.838
_cell_length_c 5.977
_cell_angle_alpha 90.00
_cell_angle_beta 106.62
_cell_angle_gamma 90.00
loop_
_atom_site_label
_atom_site_type_symbol
_atom_site_fract_x
_atom_site_fract_y
_atom_site_fract_z
Ca1 Ca 0.000 0.000 0.000
Mg1 Mg 0.000 0.500 0.500
Tl1 Tl 0.239 0.000 0.730
```


6.
The following is a DFT calculation (PBE) of CaMg6Tl4 after structural relaxation.

Results
VASP energy ... -2.002 eV/atom
Fermi-level density of states ... 0.45 states/eV per atom

Structure (CIF):
```
data_CaMg6Tl4
_chemical_formula_sum 'Ca1 Mg6 Tl4'
_space_group_name_H-M_alt 'P -6 m 2'
_space_group_IT_number 187
_space_group_name_Hall 'P -6 2'
_cell_length_a 8.9751
_cell_length_b 8.9751
_cell_length_c 4.0685
_cell_angle_alpha 90.00
_cell_angle_beta 90.00
_cell_angle_gamma 120.00
loop_
_atom_site_label
_atom_site_type_symbol
_atom_site_fract_x
_atom_site_fract_y
_atom_site_fract_z
Ca1 Ca 0.0000 0.0000 0.0000
Mg1 Mg 0.2002 0.4003 0.5000
Mg2 Mg 0.5303 0.0607 0.0000
Tl1 Tl 0.3333 0.6667 0.0000
Tl2 Tl 0.3573 0.1787 0.5000
```


7.
The following is a DFT calculation (PBE) of CaTm2MgTl4 after structural relaxation.

Results
VASP energy ... -3.011 eV/atom
Fermi-level density of states ... 0.62 states/eV per atom

Structure (CIF):
```
data_CaTm2MgTl4
_chemical_formula_sum 'Ca3 Tm6 Mg3 Tl12'
_space_group_name_H-M_alt 'R -3 m'
_space_group_IT_number 166
_space_group_name_Hall '-R 3 2"'
_cell_length_a 5.2818
_cell_length_b 5.2818
_cell_length_c 26.4926
_cell_angle_alpha 90.00
_cell_angle_beta 90.00
_cell_angle_gamma 120.00
loop_
_atom_site_label
_atom_site_type_symbol
_atom_site_fract_x
_atom_site_fract_y
_atom_site_fract_z
Ca1 Ca 0.0000 0.0000 0.0000
Tm1 Tm 0.0000 0.0000 0.2453
Mg1 Mg 0.0000 0.0000 0.5000
Tl1 Tl 0.0000 0.0000 0.1255
Tl2 Tl 0.0000 0.0000 0.3766
```


8.
The following is a DFT calculation (PBE) of CaTmMg2Tl4 after structural relaxation.

Results
VASP energy ... -2.625 eV/atom
Fermi-level density of states ... 0.38 states/eV per atom

Structure (CIF):
```
data_CaTmMg2Tl4
_chemical_formula_sum 'Ca3 Tm3 Mg6 Tl12'
_space_group_name_H-M_alt 'R -3 m'
_space_group_IT_number 166
_space_group_name_Hall '-R 3 2"'
_cell_length_a 5.2310
_cell_length_b 5.2310
_cell_length_c 26.3038
_cell_angle_alpha 90.00
_cell_angle_beta 90.00
_cell_angle_gamma 120.00
loop_
_atom_site_label
_atom_site_type_symbol
_atom_site_fract_x
_atom_site_fract_y
_atom_site_fract_z
Ca1 Ca 0.0000 0.0000 0.0000
Tm1 Tm 0.0000 0.0000 0.5000
Mg1 Mg 0.0000 0.0000 0.2491
Tl1 Tl 0.0000 0.0000 0.1249
Tl2 Tl 0.0000 0.0000 0.3771
```


9.
The following is a DFT calculation (PBE) of Ca2MgTlV after structural relaxation.

Results
VASP energy ... -2.477 eV/atom
Fermi-level density of states ... 2.78 states/eV per atom

Structure (CIF):
```
data_Ca2MgTlV
_chemical_formula_sum 'Ca2 Mg1 Tl1 V1'
_space_group_name_H-M_alt 'P 4/m m m'
_space_group_IT_number 123
_space_group_name_Hall '-P 4 2'
_cell_length_a 5.895
_cell_length_b 5.895
_cell_length_c 5.237
_cell_angle_alpha 90.00
_cell_angle_beta 90.00
_cell_angle_gamma 90.00
loop_
_atom_site_label
_atom_site_type_symbol
_atom_site_fract_x
_atom_site_fract_y
_atom_site_fract_z
Ca1 Ca 0.000 0.500 0.000
Mg1 Mg 0.000 0.000 0.500
Tl1 Tl 0.000 0.000 0.000
V1 V 0.500 0.500 0.500
```


10.
The following is a DFT calculation (PBE) of CaMgTl2V after structural relaxation.

Results
VASP energy ... -2.988 eV/atom
Fermi-level density of states ... 0.64 states/eV per atom

Structure (CIF):
```
data_CaMgTl2V
_chemical_formula_sum 'Ca1 Mg1 Tl2 V1'
_space_group_name_H-M_alt 'P 4/m m m'
_space_group_IT_number 123
_space_group_name_Hall '-P 4 2'
_cell_length_a 5.398
_cell_length_b 5.398
_cell_length_c 5.492
_cell_angle_alpha 90.00
_cell_angle_beta 90.00
_cell_angle_gamma 90.00
loop_
_atom_site_label
_atom_site_type_symbol
_atom_site_fract_x
_atom_site_fract_y
_atom_site_fract_z
Ca1 Ca 0.000 0.000 0.000
Mg1 Mg 0.500 0.500 0.000
Tl1 Tl 0.000 0.500 0.500
V1 V 0.000 0.000 0.500
```


11.
The following is a DFT calculation (PBE) of CaYMgTl after structural relaxation.

Results
VASP energy ... -3.373 eV/atom
Fermi-level density of states ... 0.51 states/eV per atom

Structure (CIF):
```
data_CaYMgTl
_chemical_formula_sum 'Ca4 Y4 Mg4 Tl4'
_space_group_name_H-M_alt 'F -4 3 m'
_space_group_IT_number 216
_space_group_name_Hall 'F -4 2 3'
_cell_length_a 7.656
_cell_length_b 7.656
_cell_length_c 7.656
_cell_angle_alpha 90.00
_cell_angle_beta 90.00
_cell_angle_gamma 90.00
loop_
_atom_site_label
_atom_site_type_symbol
_atom_site_fract_x
_atom_site_fract_y
_atom_site_fract_z
Ca1 Ca 0.000 0.000 0.000
Y1 Y 0.000 0.000 0.500
Mg1 Mg 0.250 0.250 0.750
Tl1 Tl 0.250 0.250 0.250
```


12.
The following is a DFT calculation (PBE) of CaYMgTl2 after structural relaxation.

Results
VASP energy ... -2.231 eV/atom
Fermi-level density of states ... 1.21 states/eV per atom

Structure (CIF):
```
data_CaYMgTl2
_chemical_formula_sum 'Ca1 Y1 Mg1 Tl2'
_space_group_name_H-M_alt 'P 4/m m m'
_space_group_IT_number 123
_space_group_name_Hall '-P 4 2'
_cell_length_a 5.755
_cell_length_b 5.755
_cell_length_c 5.795
_cell_angle_alpha 90.00
_cell_angle_beta 90.00
_cell_angle_gamma 90.00
loop_
_atom_site_label
_atom_site_type_symbol
_atom_site_fract_x
_atom_site_fract_y
_atom_site_fract_z
Ca1 Ca 0.000 0.000 0.000
Y1 Y 0.000 0.000 0.500
Mg1 Mg 0.500 0.500 0.500
Tl1 Tl 0.000 0.500 0.000
```


13.
The following is a DFT calculation (PBE) of CaY2MgTl4 after structural relaxation.

Results
VASP energy ... -3.547 eV/atom
Fermi-level density of states ... 0.67 states/eV per atom

Structure (CIF):
```
data_CaY2MgTl4
_chemical_formula_sum 'Ca3 Y6 Mg3 Tl12'
_space_group_name_H-M_alt 'R -3 m'
_space_group_IT_number 166
_space_group_name_Hall '-R 3 2"'
_cell_length_a 5.3096
_cell_length_b 5.3096
_cell_length_c 26.7120
_cell_angle_alpha 90.00
_cell_angle_beta 90.00
_cell_angle_gamma 120.00
loop_
_atom_site_label
_atom_site_type_symbol
_atom_site_fract_x
_atom_site_fract_y
_atom_site_fract_z
Ca1 Ca 0.0000 0.0000 0.0000
Y1 Y 0.0000 0.0000 0.2443
Mg1 Mg 0.0000 0.0000 0.5000
Tl1 Tl 0.0000 0.0000 0.1247
Tl2 Tl 0.0000 0.0000 0.3758
```


14.
The following is a DFT calculation (PBE) of CaMgTlZn after structural relaxation.

Results
VASP energy ... -2.021 eV/atom
Fermi-level density of states ... 0.34 states/eV per atom

Structure (CIF):
```
data_CaMgTlZn
_chemical_formula_sum 'Ca4 Mg4 Tl4 Zn4'
_space_group_name_H-M_alt 'F -4 3 m'
_space_group_IT_number 216
_space_group_name_Hall 'F -4 2 3'
_cell_length_a 7.227
_cell_length_b 7.227
_cell_length_c 7.227
_cell_angle_alpha 90.00
_cell_angle_beta 90.00
_cell_angle_gamma 90.00
loop_
_atom_site_label
_atom_site_type_symbol
_atom_site_fract_x
_atom_site_fract_y
_atom_site_fract_z
Ca1 Ca 0.000 0.000 0.000
Mg1 Mg 0.000 0.000 0.500
Tl1 Tl 0.250 0.250 0.250
Zn1 Zn 0.250 0.250 0.750
```


15.
The following is a DFT calculation (PBE) of CaMgTlZn2 after structural relaxation.

Results
VASP energy ... -1.359 eV/atom
Fermi-level density of states ... 0.74 states/eV per atom

Structure (CIF):
```
data_CaMgTlZn2
_chemical_formula_sum 'Ca1 Mg1 Tl1 Zn2'
_space_group_name_H-M_alt 'P 4/m m m'
_space_group_IT_number 123
_space_group_name_Hall '-P 4 2'
_cell_length_a 5.019
_cell_length_b 5.019
_cell_length_c 5.873
_cell_angle_alpha 90.00
_cell_angle_beta 90.00
_cell_angle_gamma 90.00
loop_
_atom_site_label
_atom_site_type_symbol
_atom_site_fract_x
_atom_site_fract_y
_atom_site_fract_z
Ca1 Ca 0.000 0.000 0.000
Mg1 Mg 0.000 0.000 0.500
Tl1 Tl 0.500 0.500 0.000
Zn1 Zn 0.000 0.500 0.500
```


16.
The following is a DFT calculation (PBE) of Ca2Mg12TlZn3 after structural relaxation.

Results
VASP energy ... -1.524 eV/atom
Fermi-level density of states ... 0.44 states/eV per atom

Structure (CIF):
```
data_Ca2Mg12TlZn3
_chemical_formula_sum 'Ca6 Mg36 Tl3 Zn9'
_space_group_name_H-M_alt 'R -3 m'
_space_group_IT_number 166
_space_group_name_Hall '-R 3 2"'
_cell_length_a 10.3726
_cell_length_b 10.3726
_cell_length_c 14.4403
_cell_angle_alpha 90.00
_cell_angle_beta 90.00
_cell_angle_gamma 120.00
loop_
_atom_site_label
_atom_site_type_symbol
_atom_site_fract_x
_atom_site_fract_y
_atom_site_fract_z
Ca1 Ca 0.0000 0.0000 0.1283
Mg1 Mg 0.0070 0.5035 0.1904
Mg2 Mg 0.0275 0.5137 0.3947
Tl1 Tl 0.0000 0.0000 0.5000
Zn1 Zn 0.0000 0.5000 0.0000
```


17.
The following is a DFT calculation (PBE) of Ca3TmMg12 after structural relaxation.

Results
VASP energy ... -1.889 eV/atom
Fermi-level density of states ... 0.59 states/eV per atom

Structure (CIF):
```
data_Ca3TmMg12
_chemical_formula_sum 'Ca3 Tm1 Mg12'
_space_group_name_H-M_alt 'P 4/m m m'
_space_group_IT_number 123
_space_group_name_Hall '-P 4 2'
_cell_length_a 4.739
_cell_length_b 4.739
_cell_length_c 18.922
_cell_angle_alpha 90.00
_cell_angle_beta 90.00
_cell_angle_gamma 90.00
loop_
_atom_site_label
_atom_site_type_symbol
_atom_site_fract_x
_atom_site_fract_y
_atom_site_fract_z
Ca1 Ca 0.000 0.000 0.000
Ca2 Ca 0.000 0.000 0.253
Tm1 Tm 0.000 0.000 0.500
Mg1 Mg 0.000 0.500 0.126
Mg2 Mg 0.000 0.500 0.379
Mg3 Mg 0.500 0.500 0.000
Mg4 Mg 0.500 0.500 0.251
Mg5 Mg 0.500 0.500 0.500
```


18.
The following is a DFT calculation (PBE) of CaTm2Mg after structural relaxation.

Results
VASP energy ... -2.909 eV/atom
Fermi-level density of states ... 1.93 states/eV per atom

Structure (CIF):
```
data_CaTm2Mg
_chemical_formula_sum 'Ca3 Tm6 Mg3'
_space_group_name_H-M_alt 'R -3 m'
_space_group_IT_number 166
_space_group_name_Hall '-R 3 2"'
_cell_length_a 3.4877
_cell_length_b 3.4877
_cell_length_c 36.0622
_cell_angle_alpha 90.00
_cell_angle_beta 90.00
_cell_angle_gamma 120.00
loop_
_atom_site_label
_atom_site_type_symbol
_atom_site_fract_x
_atom_site_fract_y
_atom_site_fract_z
Ca1 Ca 0.0000 0.0000 0.0000
Tm1 Tm 0.0000 0.0000 0.0937
Mg1 Mg 0.0000 0.0000 0.5000
```


19.
The following is a DFT calculation (PBE) of CaTm3Mg12 after structural relaxation.

Results
VASP energy ... -2.198 eV/atom
Fermi-level density of states ... 0.67 states/eV per atom

Structure (CIF):
```
data_CaTm3Mg12
_chemical_formula_sum 'Ca1 Tm3 Mg12'
_space_group_name_H-M_alt 'P 4/m m m'
_space_group_IT_number 123
_space_group_name_Hall '-P 4 2'
_cell_length_a 4.639
_cell_length_b 4.639
_cell_length_c 18.883
_cell_angle_alpha 90.00
_cell_angle_beta 90.00
_cell_angle_gamma 90.00
loop_
_atom_site_label
_atom_site_type_symbol
_atom_site_fract_x
_atom_site_fract_y
_atom_site_fract_z
Ca1 Ca 0.000 0.000 0.000
Tm1 Tm 0.000 0.000 0.253
Tm2 Tm 0.000 0.000 0.500
Mg1 Mg 0.000 0.500 0.130
Mg2 Mg 0.000 0.500 0.376
Mg3 Mg 0.500 0.500 0.000
Mg4 Mg 0.500 0.500 0.252
Mg5 Mg 0.500 0.500 0.500
```


20.
The following is a DFT calculation (PBE) of Ca2TmMg9 after structural relaxation.

Results
VASP energy ... -1.932 eV/atom
Fermi-level density of states ... 0.79 states/eV per atom

Structure (CIF):
```
data_Ca2TmMg9
_chemical_formula_sum 'Ca6 Tm3 Mg27'
_space_group_name_H-M_alt 'R -3 m'
_space_group_IT_number 166
_space_group_name_Hall '-R 3 2"'
_cell_length_a 6.1034
_cell_length_b 6.1034
_cell_length_c 29.5730
_cell_angle_alpha 90.00
_cell_angle_beta 90.00
_cell_angle_gamma 120.00
loop_
_atom_site_label
_atom_site_type_symbol
_atom_site_fract_x
_atom_site_fract_y
_atom_site_fract_z
Ca1 Ca 0.0000 0.0000 0.1416
Tm1 Tm 0.0000 0.0000 0.0000
Mg1 Mg 0.0000 0.0000 0.3336
Mg2 Mg 0.0000 0.0000 0.5000
Mg3 Mg 0.0025 0.5012 0.9179
```